(1)
The following is a PBE calculation of a relaxed structure of Be2SiPb, from Alexandria via LeMat-Bulk.

Output
- uncorrected formation energy (eV per atom) = 0.599
- distance to the lowest polymorph of the same formula (eV per formula unit) = 1.37

a b c (Å): 4.165 4.915 6.517
angles (deg): 90.00 90.00 90.00
Space group Cmmm (No. 65)
Symmetry-distinct sites (fractional):
Be1 0.000 0.000 0.163 [4 per cell]
Si1 0.000 0.500 0.000 [2 per cell]
Pb1 0.000 0.500 0.500 [2 per cell]

---

(2)
The following is a PBE calculation of a relaxed structure of ScCuTeO6, from Alexandria via LeMat-Bulk.

Output
- uncorrected formation energy (eV per atom) = -1.470

a b c (Å): 4.735 4.735 9.319
angles (deg): 90.00 90.00 90.00
Space group P4_2nm (No. 102)
Symmetry-distinct sites (fractional):
Sc1 0.000 0.000 0.000 [2 per cell]
Cu1 0.000 0.000 0.328 [2 per cell]
Te1 0.000 0.000 0.663 [2 per cell]
O1 0.185 0.185 0.501 [4 per cell]
O2 0.193 0.193 0.819 [4 per cell]
O3 0.206 0.206 0.165 [4 per cell]

---

(3)
The following is a PBE calculation of a relaxed structure of LiNi2Ru, from Alexandria via LeMat-Bulk.

Output
- formation energy from the elements (meV/atom) = 37
- distance to the lowest polymorph of the same formula (eV per formula unit) = 0.01

a b c (Å): 5.127 7.321 2.534
angles (deg): 90.00 90.00 90.00
Space group Cmmm (No. 65)
Symmetry-distinct sites (fractional):
Li1 0.000 0.000 0.000 [2 per cell]
Ni1 0.250 0.250 0.500 [4 per cell]
Ru1 0.000 0.500 0.000 [2 per cell]